Entry 1:
PBE CaTa5, relaxed; E_form = 42.9 kJ per mole of atoms; energy above the lowest structure with this stoichiometry = 21.2 meV/atom; E_tot = -9.77 eV/atom; magnetization = 0.000 μB/f.u.
1.0
4.979 0.000 0.000
0.000 9.855 0.000
0.000 0.000 4.893
Ca Ta
2 10
Direct
0.000 0.000 0.000 Ca
0.500 0.500 0.000 Ca
0.000 0.193 0.500 Ta
0.000 0.327 0.000 Ta
0.000 0.500 0.500 Ta
0.000 0.673 0.000 Ta
0.000 0.807 0.500 Ta
0.500 0.000 0.500 Ta
0.500 0.173 0.000 Ta
0.500 0.307 0.500 Ta
0.500 0.693 0.500 Ta
0.500 0.827 0.000 Ta



Entry 2:
PBE LaZn2Tc, relaxed; E_form = 18.9 kJ per mole of atoms; energy above the lowest structure with this stoichiometry = 203.9 meV/atom; E_tot = -4.26 eV/atom; magnetization = 0.000 μB/f.u.
1.0
3.988 0.000 0.000
0.000 4.044 0.000
0.000 0.000 4.761
La Zn Tc
1 2 1
Direct
0.000 0.000 0.000 La
0.000 0.500 0.500 Zn
0.500 0.000 0.500 Zn
0.500 0.500 0.000 Tc



Entry 3:
PBE Ce3Si5, relaxed; formation energy (no corrections) = -0.65 eV per atom; E_tot = -6.27 eV/atom; magnetization = 1.387 μB/f.u.
1.0
0.000 8.588 6.946
2.867 0.000 6.946
2.867 8.588 0.000
Ce Si
6 10
Direct
0.000 0.000 0.000 Ce
0.250 0.250 0.250 Ce
0.336 0.656 0.328 Ce
0.570 0.922 0.594 Ce
0.656 0.336 0.680 Ce
0.922 0.570 0.914 Ce
0.063 0.764 0.265 Si
0.172 0.499 0.986 Si
0.264 0.906 0.078 Si
0.342 0.985 0.486 Si
0.499 0.172 0.344 Si
0.570 0.570 0.430 Si
0.764 0.063 0.908 Si
0.820 0.820 0.680 Si
0.906 0.264 0.751 Si
0.985 0.342 0.187 Si



Entry 4:
PBE Cr2CdHg, relaxed; E_form = 90.9 kJ per mole of atoms; energy above the lowest structure with this stoichiometry = 656.5 meV/atom; E_tot = -4.17 eV/atom; magnetization = 0.001 μB/f.u.
1.0
6.359 0.000 0.000
0.000 6.359 0.000
0.000 0.000 6.359
Cr Cd Hg
8 4 4
Direct
0.250 0.250 0.250 Cr
0.250 0.250 0.750 Cr
0.250 0.750 0.250 Cr
0.250 0.750 0.750 Cr
0.750 0.250 0.250 Cr
0.750 0.250 0.750 Cr
0.750 0.750 0.250 Cr
0.750 0.750 0.750 Cr
0.000 0.000 0.000 Cd
0.000 0.500 0.500 Cd
0.500 0.000 0.500 Cd
0.500 0.500 0.000 Cd
0.000 0.000 0.500 Hg
0.000 0.500 0.000 Hg
0.500 0.000 0.000 Hg
0.500 0.500 0.500 Hg